Compound: CaTmPa2O8
Source: Alexandria
Functional: PBE
Structure: optimized geometry

Output
The raw formation energy is -3.405 eV/atom. The calculation puts the density at 8463 kg/m³. For the magnetic moment, the calculation gives 0.00 μB/f.u. The total energy is -8.83 eV per atom.

Cell lengths 5.406, 5.406, 6.587 Å; angles 114.23, 114.23, 90.00 degrees
Positions (direct):
1 Ca 0.750 0.250 0.500
2 Tm 0.000 0.000 0.000
3 Pa 0.500 0.500 0.000
4 Pa 0.250 0.750 0.500
5 O 0.878 0.859 0.245
6 O 0.367 0.386 0.245
7 O 0.614 0.633 0.755
8 O 0.141 0.122 0.755
9 O 0.878 0.386 0.245
10 O 0.367 0.859 0.245
11 O 0.141 0.633 0.755
12 O 0.614 0.122 0.755